Entry 1:
DFT (PBE) results for a relaxed structure of BaAl2Sb.

Structure (CIF):
```
data_BaAl2Sb
_symmetry_space_group_name_H-M 'P 4/m m m'
_symmetry_Int_Tables_number 123
_symmetry_space_group_name_Hall '-P 4 2'
_cell_length_a 4.815
_cell_length_b 4.815
_cell_length_c 4.819
_cell_angle_alpha 90.00
_cell_angle_beta 90.00
_cell_angle_gamma 90.00
loop_
_atom_site_label
_atom_site_type_symbol
_atom_site_fract_x
_atom_site_fract_y
_atom_site_fract_z
Ba1 Ba 0.000 0.000 0.000
Al1 Al 0.000 0.500 0.500
Sb1 Sb 0.500 0.500 0.000
```

Calculated values
- magnetic moment (μB per cell) = 0.00
- uncorrected energy (Ha/atom) = -0.1276
- raw formation energy (eV per atom) = -0.09


Entry 2:
DFT (PBE) results for a relaxed structure of LiPtRh.

Structure (CIF):
```
data_LiPtRh
_symmetry_space_group_name_H-M 'F -4 3 m'
_symmetry_Int_Tables_number 216
_symmetry_space_group_name_Hall 'F -4 2 3'
_cell_length_a 5.914
_cell_length_b 5.914
_cell_length_c 5.914
_cell_angle_alpha 90.00
_cell_angle_beta 90.00
_cell_angle_gamma 90.00
loop_
_atom_site_label
_atom_site_type_symbol
_atom_site_fract_x
_atom_site_fract_y
_atom_site_fract_z
Li1 Li 0.000 0.000 0.000
Pt1 Pt 0.250 0.250 0.250
Rh1 Rh 0.000 0.000 0.500
```

Calculated values
- magnetic moment (μB per cell) = 5.17
- formation enthalpy at 0 K (eV per atom) = 0.175
- uncorrected energy (Ha/atom) = -0.1811
- distance to the lowest polymorph of the same formula (kJ per mole of atoms) = 37.07


Entry 3:
DFT (PBE) results for a relaxed structure of LiTmZrSe4.

Structure (CIF):
```
data_LiTmZrSe4
_symmetry_space_group_name_H-M 'I m m a'
_symmetry_Int_Tables_number 74
_symmetry_space_group_name_Hall '-I 2b 2'
_cell_length_a 7.904
_cell_length_b 8.161
_cell_length_c 11.383
_cell_angle_alpha 90.00
_cell_angle_beta 90.00
_cell_angle_gamma 90.00
loop_
_atom_site_label
_atom_site_type_symbol
_atom_site_fract_x
_atom_site_fract_y
_atom_site_fract_z
Li1 Li 0.000 0.250 0.124
Tm1 Tm 0.000 0.000 0.500
Zr1 Zr 0.250 0.250 0.750
Se1 Se 0.000 0.018 0.749
Se2 Se 0.245 0.250 0.513
```

Calculated values
- magnetic moment (μB per cell) = 0.00
- uncorrected energy (Ha/atom) = -0.2076
- raw formation energy (eV per atom) = -1.52


Entry 4:
DFT (PBE) results for a relaxed structure of Sm2Dy2Tm7.

Structure (CIF):
```
data_Sm2Dy2Tm7
_symmetry_space_group_name_H-M 'C 1 2/m 1'
_symmetry_Int_Tables_number 12
_cell_length_a 11.095
_cell_length_b 11.452
_cell_length_c 6.018
_cell_angle_alpha 90.00
_cell_angle_beta 113.94
_cell_angle_gamma 90.00
loop_
_symmetry_equiv_pos_as_xyz
'x,y,z'
'-x,-y,-z'
'-x,y,-z'
'x,-y,z'
'x+1/2,y+1/2,z'
'-x+1/2,-y+1/2,-z'
'-x+1/2,y+1/2,-z'
'x+1/2,-y+1/2,z'
loop_
_atom_site_label
_atom_site_type_symbol
_atom_site_fract_x
_atom_site_fract_y
_atom_site_fract_z
Sm1 Sm 0.094 0.000 0.307
Dy1 Dy 0.000 0.288 0.000
Tm1 Tm 0.000 0.500 0.500
Tm2 Tm 0.173 0.262 0.679
Tm3 Tm 0.230 0.500 0.078
```

Calculated values
- magnetic moment (μB per cell) = 0.00
- formation enthalpy at 0 K (eV per atom) = 0.158
- uncorrected energy (Ha/atom) = -0.1610
- distance to the lowest polymorph of the same formula (kJ per mole of atoms) = 0.00


Entry 5:
DFT (PBE) results for a relaxed structure of CsLaTe2.

Structure (CIF):
```
data_CsLaTe2
_symmetry_space_group_name_H-M 'R 3 m'
_symmetry_Int_Tables_number 160
_symmetry_space_group_name_Hall 'R 3 -2"'
_cell_length_a 4.7499
_cell_length_b 4.7499
_cell_length_c 27.1135
_cell_angle_alpha 90.00
_cell_angle_beta 90.00
_cell_angle_gamma 120.00
loop_
_atom_site_label
_atom_site_type_symbol
_atom_site_fract_x
_atom_site_fract_y
_atom_site_fract_z
Cs1 Cs 0.0000 0.0000 0.0000
La1 La 0.0000 0.0000 0.1688
Te1 Te 0.0000 0.0000 0.5673
Te2 Te 0.0000 0.0000 0.7702
```

Calculated values
- magnetic moment (μB per cell) = 0.00
- uncorrected energy (Ha/atom) = -0.1654
- raw formation energy (eV per atom) = -1.49


Entry 6:
DFT (PBE) results for a relaxed structure of SrAc4Ga4.

Structure (CIF):
```
data_SrAc4Ga4
_symmetry_space_group_name_H-M 'P 42/n'
_symmetry_Int_Tables_number 86
_cell_length_a 9.936
_cell_length_b 9.936
_cell_length_c 6.479
_cell_angle_alpha 90.00
_cell_angle_beta 90.00
_cell_angle_gamma 90.00
loop_
_symmetry_equiv_pos_as_xyz
'x,y,z'
'-x,-y,-z'
'-y,x+1/2,z+1/2'
'y,-x+1/2,-z+1/2'
'-x+1/2,-y+1/2,z'
'x+1/2,y+1/2,-z'
'y+1/2,-x,z+1/2'
'-y+1/2,x,-z+1/2'
loop_
_atom_site_label
_atom_site_type_symbol
_atom_site_fract_x
_atom_site_fract_y
_atom_site_fract_z
Sr1 Sr 0.250 0.250 0.250
Ac1 Ac 0.073 0.660 0.116
Ga1 Ga 0.018 0.607 0.610
```

Calculated values
- magnetic moment (μB per cell) = 0.00
- formation enthalpy at 0 K (eV per atom) = -0.306
- uncorrected energy (Ha/atom) = -0.1347


Entry 7:
DFT (PBE) results for a relaxed structure of Tl2ReHg.

Structure (CIF):
```
data_Tl2ReHg
_symmetry_space_group_name_H-M 'R -3 m'
_symmetry_Int_Tables_number 166
_symmetry_space_group_name_Hall '-R 3 2"'
_cell_length_a 3.0384
_cell_length_b 3.0384
_cell_length_c 36.1486
_cell_angle_alpha 90.00
_cell_angle_beta 90.00
_cell_angle_gamma 120.00
loop_
_atom_site_label
_atom_site_type_symbol
_atom_site_fract_x
_atom_site_fract_y
_atom_site_fract_z
Tl1 Tl 0.0000 0.0000 0.2372
Re1 Re 0.0000 0.0000 0.5000
Hg1 Hg 0.0000 0.0000 0.0000
```

Calculated values
- magnetic moment (μB per cell) = 0.00
- formation enthalpy at 0 K (eV per atom) = 0.744
- uncorrected energy (Ha/atom) = -0.1333
- distance to the lowest polymorph of the same formula (kJ per mole of atoms) = 5.24


Entry 8:
DFT (PBE) results for a relaxed structure of CsAl2Sn2.

Structure (CIF):
```
data_CsAl2Sn2
_symmetry_space_group_name_H-M 'P 4/m b m'
_symmetry_Int_Tables_number 127
_symmetry_space_group_name_Hall '-P 4 2ab'
_cell_length_a 9.361
_cell_length_b 9.361
_cell_length_c 3.338
_cell_angle_alpha 90.00
_cell_angle_beta 90.00
_cell_angle_gamma 90.00
loop_
_atom_site_label
_atom_site_type_symbol
_atom_site_fract_x
_atom_site_fract_y
_atom_site_fract_z
Cs1 Cs 0.000 0.000 0.000
Al1 Al 0.141 0.359 0.500
Sn1 Sn 0.130 0.630 0.000
```

Calculated values
- magnetic moment (μB per cell) = 0.00
- formation enthalpy at 0 K (eV per atom) = 0.160
- uncorrected energy (Ha/atom) = -0.1142
- distance to the lowest polymorph of the same formula (kJ per mole of atoms) = 19.55


Entry 9:
DFT (PBE) results for a relaxed structure of ReIrSN2.

Structure (CIF):
```
data_ReIrSN2
_symmetry_space_group_name_H-M 'P 4/m m m'
_symmetry_Int_Tables_number 123
_symmetry_space_group_name_Hall '-P 4 2'
_cell_length_a 3.656
_cell_length_b 3.656
_cell_length_c 7.998
_cell_angle_alpha 90.00
_cell_angle_beta 90.00
_cell_angle_gamma 90.00
loop_
_atom_site_label
_atom_site_type_symbol
_atom_site_fract_x
_atom_site_fract_y
_atom_site_fract_z
Re1 Re 0.000 0.000 0.000
Ir1 Ir 0.500 0.500 0.500
S1 S 0.500 0.500 0.000
N1 N 0.000 0.500 0.500
```

Calculated values
- magnetic moment (μB per cell) = 3.94
- uncorrected energy (Ha/atom) = -0.2560
- distance to the lowest polymorph of the same formula (kJ per mole of atoms) = 37.64
- raw formation energy (eV per atom) = 1.45


Entry 10:
DFT (PBE) results for a relaxed structure of Mg2Pd5Au2.

Structure (CIF):
```
data_Mg2Pd5Au2
_symmetry_space_group_name_H-M 'P -1'
_symmetry_Int_Tables_number 2
_cell_length_a 4.029
_cell_length_b 6.293
_cell_length_c 6.385
_cell_angle_alpha 106.78
_cell_angle_beta 108.30
_cell_angle_gamma 90.07
loop_
_symmetry_equiv_pos_as_xyz
'x,y,z'
'-x,-y,-z'
loop_
_atom_site_label
_atom_site_type_symbol
_atom_site_fract_x
_atom_site_fract_y
_atom_site_fract_z
Mg1 Mg 0.124 0.185 0.248
Pd1 Pd 0.000 0.500 0.000
Pd2 Pd 0.222 0.831 0.443
Pd3 Pd 0.335 0.502 0.671
Au1 Au 0.443 0.163 0.887
```

Calculated values
- magnetic moment (μB per cell) = 0.00
- formation enthalpy at 0 K (eV per atom) = -0.442
- uncorrected energy (Ha/atom) = -0.1620
- distance to the lowest polymorph of the same formula (kJ per mole of atoms) = 0.00


Entry 11:
DFT (PBE) results for a relaxed structure of Ti6AlZn5.

Structure (CIF):
```
data_Ti6AlZn5
_symmetry_space_group_name_H-M 'C m m m'
_symmetry_Int_Tables_number 65
_symmetry_space_group_name_Hall '-C 2 2'
_cell_length_a 4.403
_cell_length_b 13.213
_cell_length_c 6.463
_cell_angle_alpha 90.00
_cell_angle_beta 90.00
_cell_angle_gamma 90.00
loop_
_atom_site_label
_atom_site_type_symbol
_atom_site_fract_x
_atom_site_fract_y
_atom_site_fract_z
Ti1 Ti 0.000 0.000 0.245
Ti2 Ti 0.000 0.332 0.248
Al1 Al 0.000 0.500 0.500
Zn1 Zn 0.000 0.166 0.000
Zn2 Zn 0.000 0.166 0.500
Zn3 Zn 0.000 0.500 0.000
```

Calculated values
- magnetic moment (μB per cell) = 0.00
- formation enthalpy at 0 K (eV per atom) = -0.203
- uncorrected energy (Ha/atom) = -0.1835


Entry 12:
DFT (PBE) results for a relaxed structure of SmPuCd6.

Structure (CIF):
```
data_SmPuCd6
_symmetry_space_group_name_H-M 'A m m 2'
_symmetry_Int_Tables_number 38
_cell_length_a 5.046
_cell_length_b 6.762
_cell_length_c 11.607
_cell_angle_alpha 90.00
_cell_angle_beta 90.00
_cell_angle_gamma 90.00
loop_
_symmetry_equiv_pos_as_xyz
'x,y,z'
'-x,-y,z'
'-x,y,z'
'x,-y,z'
'x,y+1/2,z+1/2'
'-x,-y+1/2,z+1/2'
'-x,y+1/2,z+1/2'
'x,-y+1/2,z+1/2'
loop_
_atom_site_label
_atom_site_type_symbol
_atom_site_fract_x
_atom_site_fract_y
_atom_site_fract_z
Sm1 Sm 0.000 0.000 0.000
Pu1 Pu 0.500 0.000 0.673
Cd1 Cd 0.000 0.000 0.501
Cd2 Cd 0.000 0.241 0.254
Cd3 Cd 0.500 0.000 0.175
Cd4 Cd 0.500 0.237 0.418
```

Calculated values
- magnetic moment (μB per cell) = 12.25
- formation enthalpy at 0 K (eV per atom) = -0.158
- uncorrected energy (Ha/atom) = -0.1185